BaLi2Mg10 | PBE | optimized geometry

Computed properties:
* energy relative to the elements: -0.05 eV per atom
* space group: Fmmm (69)
* raw total energy: -1.72 eV per atom
* total magnetic moment: 0.00 μB/cell
* DOS(E_F): 7.37 states/eV/f.u.

Lattice parameters (Å, degrees): 10.6376 8.0903 8.0197 82.65 48.96 48.39
Element x y z (fractional)
1 Ba 0.0000 0.0000 0.0000
2 Li 0.0000 0.0000 0.5000
3 Li 0.5000 0.5000 0.0000
4 Mg 0.0000 0.5000 0.0000
5 Mg 0.0028 0.6431 0.3569
6 Mg 0.2759 0.5066 0.4934
7 Mg 0.3569 0.9972 0.0028
8 Mg 0.4934 0.7241 0.2759
9 Mg 0.5000 0.0000 0.5000
10 Mg 0.5066 0.2759 0.7241
11 Mg 0.6431 0.0028 0.9972
12 Mg 0.7241 0.4934 0.5066
13 Mg 0.9972 0.3569 0.6431